Record 1
PtSe2Cl: optimized geometry, PBE. Values from VASP.

Cell and atoms, written as Quantum ESPRESSO input:
```
&SYSTEM
  ibrav = 0, nat = 4, ntyp = 3
/
ATOMIC_SPECIES
Cl 35.45 Cl.upf
Pt 195.08 Pt.upf
Se 78.96 Se.upf
ATOMIC_POSITIONS angstrom
Cl 0.928 0.273 2.508
Pt 4.355 0.169 4.104
Se 6.469 -0.196 3.012
Se 3.813 -0.116 1.775
CELL_PARAMETERS angstrom
-0.362 4.664 1.081
-1.211 -4.015 2.339
6.855 -0.208 3.191
```

Properties
Energy above the lowest structure with this stoichiometry (meV per atom): 467.6
Raw formation energy (eV/atom): 0.123
N(E_F) (states/eV/cell): 3.41

---

Record 2
BiI3: optimized geometry, PBE. Values from VASP.

Cell and atoms, written as Quantum ESPRESSO input:
```
&SYSTEM
  ibrav = 0, nat = 4, ntyp = 2
/
ATOMIC_SPECIES
I 126.90 I.upf
Bi 208.98 Bi.upf
ATOMIC_POSITIONS angstrom
I 0.000 3.120 4.378
I 2.062 2.699 0.000
I 2.062 -0.853 2.052
Bi 0.000 0.331 0.000
CELL_PARAMETERS angstrom
4.123 0.000 0.000
0.000 7.945 0.000
-2.062 -3.972 6.430
```

Properties
Raw formation energy (eV/atom): -0.379
N(E_F) (states/eV/cell): 0.00

---

Record 3
CaTm5Pd6: optimized geometry, PBE. Values from VASP.

Cell and atoms, written as Quantum ESPRESSO input:
```
&SYSTEM
  ibrav = 0, nat = 12, ntyp = 3
/
ATOMIC_SPECIES
Ca 40.08 Ca.upf
Tm 168.93 Tm.upf
Pd 106.42 Pd.upf
ATOMIC_POSITIONS angstrom
Ca 0.000 0.000 0.000
Tm -4.734 -3.718 -0.653
Tm -1.377 -4.604 -1.063
Tm -0.798 -1.703 -2.911
Tm 2.549 -2.594 -3.315
Tm 3.138 0.311 -5.169
Pd -2.438 -1.922 -0.350
Pd -3.207 -3.557 -3.149
Pd -1.812 0.982 -2.283
Pd 0.216 -4.389 -3.539
Pd 1.611 0.150 -2.673
Pd 0.842 -1.485 -5.471
CELL_PARAMETERS angstrom
-2.769 3.791 -1.444
6.431 -0.608 -5.541
-5.258 -6.590 1.164
```

Properties
N(E_F) (states/eV/cell): 5.42
Energy of formation (eV/atom): -0.9088

---

Record 4
La6Cd5: optimized geometry, PBE. Values from VASP.

Cell and atoms, written as Quantum ESPRESSO input:
```
&SYSTEM
  ibrav = 0, nat = 11, ntyp = 2
/
ATOMIC_SPECIES
La 138.91 La.upf
Cd 112.41 Cd.upf
ATOMIC_POSITIONS angstrom
La -4.847 -4.245 -1.481
La -2.064 -2.447 0.935
La 4.394 -4.470 1.735
La 1.618 -6.263 -0.674
La -2.314 -4.408 -4.269
La 0.462 -2.616 -1.859
Cd -2.697 -1.742 -2.341
Cd -1.585 -5.215 -1.037
Cd 3.665 -3.663 -1.497
Cd 0.882 -5.319 -3.802
Cd 1.198 -3.559 1.269
CELL_PARAMETERS angstrom
-1.517 -3.207 4.135
-5.394 -3.484 -4.682
8.991 -2.187 -1.987
```

Properties
N(E_F) (states/eV/cell): 15.77
Energy of formation (eV/atom): -0.2384

---

Record 5
K2BeSb: optimized geometry, PBE. Values from VASP.

Cell and atoms, written as Quantum ESPRESSO input:
```
&SYSTEM
  ibrav = 0, nat = 8, ntyp = 3
/
ATOMIC_SPECIES
Sb 121.76 Sb.upf
K 39.10 K.upf
Be 9.01 Be.upf
ATOMIC_POSITIONS angstrom
Sb 0.000 0.000 0.000
Sb -3.320 -0.702 7.030
K -2.124 -1.257 3.931
K 0.515 0.393 4.657
K -3.467 1.810 9.270
K -2.824 -0.255 11.624
Be 0.733 -2.073 2.436
Be -0.629 1.048 7.710
CELL_PARAMETERS angstrom
-1.958 -3.823 1.756
3.423 -0.322 3.116
-5.415 4.491 9.869
```

Properties
Energy above the lowest structure with this stoichiometry (meV per atom): 631.7
Raw formation energy (eV/atom): 0.616
N(E_F) (states/eV/cell): 5.87

---

Record 6
RbPmPbSe3: optimized geometry, PBE. Values from VASP.

Cell and atoms, written as Quantum ESPRESSO input:
```
&SYSTEM
  ibrav = 0, nat = 12, ntyp = 4
/
ATOMIC_SPECIES
Rb 85.47 Rb.upf
Pm 145.00 Pm.upf
Pb 207.20 Pb.upf
Se 78.96 Se.upf
ATOMIC_POSITIONS angstrom
Rb 1.072 0.174 1.933
Rb 3.215 4.489 9.152
Pm 1.072 4.336 1.331
Pm 3.215 0.327 9.755
Pb 1.072 0.186 6.204
Pb 3.215 4.477 4.882
Se 3.215 6.086 2.462
Se 1.072 -1.422 8.624
Se 1.072 2.880 3.909
Se 3.215 1.784 7.177
Se 3.215 2.554 0.294
Se 1.072 2.109 10.792
CELL_PARAMETERS angstrom
4.287 0.000 0.000
0.000 8.244 -1.018
0.000 -3.581 12.104
```

Properties
Raw formation energy (eV/atom): -1.295
N(E_F) (states/eV/cell): 0.00

---

Copy entry 4 word for word.
La6Cd5: optimized geometry, PBE. Values from VASP.

Cell and atoms, written as Quantum ESPRESSO input:
```
&SYSTEM
  ibrav = 0, nat = 11, ntyp = 2
/
ATOMIC_SPECIES
La 138.91 La.upf
Cd 112.41 Cd.upf
ATOMIC_POSITIONS angstrom
La -4.847 -4.245 -1.481
La -2.064 -2.447 0.935
La 4.394 -4.470 1.735
La 1.618 -6.263 -0.674
La -2.314 -4.408 -4.269
La 0.462 -2.616 -1.859
Cd -2.697 -1.742 -2.341
Cd -1.585 -5.215 -1.037
Cd 3.665 -3.663 -1.497
Cd 0.882 -5.319 -3.802
Cd 1.198 -3.559 1.269
CELL_PARAMETERS angstrom
-1.517 -3.207 4.135
-5.394 -3.484 -4.682
8.991 -2.187 -1.987
```

Properties
N(E_F) (states/eV/cell): 15.77
Energy of formation (eV/atom): -0.2384